# 1
## Pu2AlGa3Au4 (PBE)

Data for crystalline Pu2AlGa3Au4 at its relaxed geometry.

Cell: 4.327 4.327 10.952 Å, 90.00 90.00 90.00°
Positions (direct):
Pu (0.500, 0.000, 0.247)
Pu (0.000, 0.500, 0.753)
Al (0.500, 0.500, 0.500)
Ga (0.000, 0.000, 0.500)
Ga (0.500, 0.000, 0.863)
Ga (0.000, 0.500, 0.137)
Au (0.500, 0.500, 0.000)
Au (0.000, 0.000, 0.000)
Au (0.500, 0.000, 0.633)
Au (0.000, 0.500, 0.367)

Computed properties:
electronic total energy	-5.893	eV/atom
density of states at the Fermi level	28.84	states/eV/cell

---

# 2
## PuAlGa2Au4 (PBE)

Data for crystalline PuAlGa2Au4 at its relaxed geometry.

Cell: 4.495 4.495 9.271 Å, 75.97 75.97 60.00°
Positions (direct):
Pu (0.000, 0.000, 0.000)
Al (0.500, 0.500, 0.500)
Ga (0.743, 0.743, 0.772)
Ga (0.257, 0.257, 0.228)
Au (0.400, 0.400, 0.801)
Au (0.862, 0.862, 0.413)
Au (0.138, 0.138, 0.587)
Au (0.600, 0.600, 0.199)

Computed properties:
electronic total energy	-4.993	eV/atom
density of states at the Fermi level	17.15	states/eV/cell